The following is a PBE-GGA calculation of a relaxed structure of Sr2HoRuO6, from Alexandria.

```
data_Sr2HoRuO6
_chemical_formula_sum 'Sr4 Ho2 Ru2 O12'
_cell_length_a 5.8621
_cell_length_b 5.8043
_cell_length_c 10.0416
_cell_angle_alpha 55.05
_cell_angle_beta 90.00
_cell_angle_gamma 90.00
_space_group_name_H-M_alt 'P 1'
_space_group_IT_number 1
_space_group_name_Hall 'P 1'
loop_
_atom_site_label
_atom_site_type_symbol
_atom_site_fract_x
_atom_site_fract_y
_atom_site_fract_z
Sr1 Sr 0.0357 0.2411 0.7506
Sr2 Sr 0.5357 0.7589 0.7494
Sr3 Sr 0.4643 0.2411 0.2506
Sr4 Sr 0.9643 0.7589 0.2494
Ho1 Ho 0.5000 0.5000 0.5000
Ho2 Ho 0.0000 0.5000 0.0000
Ru1 Ru 0.0000 0.0000 0.5000
Ru2 Ru 0.5000 0.0000 0.0000
O1 O 0.0189 0.3086 0.2652
O2 O 0.5189 0.6914 0.2348
O3 O 0.9811 0.6914 0.7348
O4 O 0.4811 0.3086 0.7652
O5 O 0.7282 0.8422 0.4598
O6 O 0.2282 0.1578 0.0402
O7 O 0.2718 0.1578 0.5402
O8 O 0.7718 0.8422 0.9598
O9 O 0.2992 0.7678 0.9618
O10 O 0.7992 0.2322 0.5382
O11 O 0.7008 0.2322 0.0382
O12 O 0.2008 0.7678 0.4618
```

The calculation puts the mass density at 6.37 g/cm³. The total energy is -142.9 eV per cell. Its crystal system is monoclinic. The value obtained for the uncorrected formation energy is -236.35 kJ per mole of atoms.